Entry 1:
MnReTe: single point on PBEsol structure, meta-GGA SCAN.

Structure (POSCAR):
```
MnReTe
1.0
-0.6835 2.8680 0.2544
-1.0654 -0.0090 -2.7608
-3.9300 -2.7394 3.1115
Mn Te Re
1 1 1
Direct
0.9861 0.9861 0.9722 Mn
0.6611 0.6611 0.3221 Te
0.3529 0.3529 0.7057 Re
```

Results
- DFT total energy (eV/atom) = -41.5307
- formation energy without anion corrections (meV/atom) = 671

Entry 2:
Ti2MnRe: single point on PBEsol structure, meta-GGA SCAN.

Structure (POSCAR):
```
Ti2MnRe
1.0
-1.7202 -0.0052 3.9096
-4.2412 -0.1953 0.4669
-1.8191 -3.5496 1.5281
Re Mn Ti
1 1 2
Direct
0.5000 0.5000 0.5000 Re
0.0000 0.0000 0.0000 Mn
0.2500 0.2500 0.2500 Ti
0.7500 0.7500 0.7500 Ti
```

Results
- DFT total energy (eV/atom) = -30.6999
- DFT formation energy (eV per atom) = -0.35

Entry 3:
TiMn2Re2: single point on PBEsol structure, meta-GGA SCAN.

Structure (POSCAR):
```
TiMn2Re2
1.0
3.8877 0.0000 0.0000
0.0000 3.8877 0.0000
-1.9439 -1.9439 4.8201
Re Mn Ti
2 2 1
Direct
0.7500 0.2500 0.5000 Re
0.2500 0.7500 0.5000 Re
0.3951 0.3951 0.7903 Mn
0.6049 0.6049 0.2097 Mn
0.0000 0.0000 0.0000 Ti
```

Results
- DFT total energy (eV/atom) = -38.8034
- DFT formation energy (eV per atom) = 0.14

Entry 4:
Mn2TlRe: single point on PBEsol structure, meta-GGA SCAN.

Structure (POSCAR):
```
Mn2TlRe
1.0
-4.2715 0.8538 0.4922
-2.8471 -1.1962 -3.1113
-2.8176 -3.2738 0.7487
Mn Re Tl
2 1 1
Direct
0.7500 0.7500 0.7500 Mn
0.0000 0.0000 0.0000 Mn
0.5000 0.5000 0.5000 Re
0.2500 0.2500 0.2500 Tl
```

Results
- DFT total energy (eV/atom) = -44.4896
- offset from the most stable computed form (meV per atom) = 222
- DFT formation energy (eV per atom) = 0.50

Entry 5:
MnTlRe2: single point on PBEsol structure, meta-GGA SCAN.

Structure (POSCAR):
```
MnTlRe2
1.0
2.7624 0.0000 0.0000
0.0000 3.7560 0.0000
0.0000 0.0000 6.0759
Re Mn Tl
2 1 1
Direct
0.0000 0.0000 0.6961 Re
0.0000 0.0000 0.3039 Re
0.5000 0.5000 0.5000 Mn
0.5000 0.5000 0.0000 Tl
```

Results
- DFT total energy (eV/atom) = -57.5975
- offset from the most stable computed form (meV per atom) = 71
- DFT formation energy (eV per atom) = 0.60

Entry 6:
MnTlRe2: single point on PBEsol structure, meta-GGA SCAN.

Structure (POSCAR):
```
MnTlRe2
1.0
3.8414 0.0000 0.0000
0.0000 3.8414 0.0000
-1.9207 -1.9207 4.1308
Tl Re Mn
1 2 1
Direct
0.0000 0.0000 0.0000 Tl
0.2500 0.7500 0.5000 Re
0.7500 0.2500 0.5000 Re
0.5000 0.5000 0.0000 Mn
```

Results
- DFT total energy (eV/atom) = -57.5326
- offset from the most stable computed form (meV per atom) = 136
- DFT formation energy (eV per atom) = 0.67

Entry 7:
MnTlRe2: single point on PBEsol structure, meta-GGA SCAN.

Structure (POSCAR):
```
MnTlRe2
1.0
-0.4572 -1.4945 -2.3686
2.0278 -3.7980 2.0050
-4.2761 0.3038 2.3335
Mn Tl Re
1 1 2
Direct
0.0000 0.5000 0.0000 Mn
0.5000 0.0000 0.0000 Tl
0.2707 0.2832 0.5414 Re
0.7293 0.7168 0.4586 Re
```

Results
- DFT total energy (eV/atom) = -57.6687
- offset from the most stable computed form (meV per atom) = 0
- DFT formation energy (eV per atom) = 0.53

Entry 8:
Mn2TlRe: single point on PBEsol structure, meta-GGA SCAN.

Structure (POSCAR):
```
Mn2TlRe
1.0
-0.8117 -2.3101 -1.4454
2.4349 -2.6541 2.8745
-4.2103 0.3252 1.8447
Mn Tl Re
2 1 1
Direct
0.0000 0.0000 0.5000 Mn
0.0000 0.5000 0.0000 Mn
0.5000 0.5000 0.5000 Tl
0.5000 0.0000 0.0000 Re
```

Results
- DFT total energy (eV/atom) = -44.5997
- offset from the most stable computed form (meV per atom) = 112
- DFT formation energy (eV per atom) = 0.39

Entry 9:
MnTlRe: single point on PBEsol structure, meta-GGA SCAN.

Structure (POSCAR):
```
MnTlRe
1.0
-3.3735 1.5790 2.2112
-3.8292 -2.0190 -0.1573
-1.4833 -2.1051 3.4831
Mn Tl Re
1 1 1
Direct
0.5000 0.5000 0.5000 Mn
0.0000 0.0000 0.0000 Tl
0.7500 0.7500 0.7500 Re
```

Results
- DFT total energy (eV/atom) = -52.8977
- offset from the most stable computed form (meV per atom) = 445
- DFT formation energy (eV per atom) = 1.01

Entry 10:
Mn2TlRe: single point on PBEsol structure, meta-GGA SCAN.

Structure (POSCAR):
```
Mn2TlRe
1.0
2.9057 0.0000 0.0000
1.4528 2.5164 0.0000
1.4528 0.8388 8.5555
Re Mn Tl
1 2 1
Direct
0.5000 0.5000 0.5000 Re
0.2421 0.2421 0.2737 Mn
0.7579 0.7579 0.7263 Mn
0.0000 0.0000 0.0000 Tl
```

Results
- DFT total energy (eV/atom) = -44.7119
- offset from the most stable computed form (meV per atom) = 0
- DFT formation energy (eV per atom) = 0.28

Entry 11:
MnTlRe: single point on PBEsol structure, meta-GGA SCAN.

Structure (POSCAR):
```
MnTlRe
1.0
-0.4954 2.2784 1.6412
-2.1244 -1.9018 -0.0089
4.1036 -3.3335 4.3933
Re Tl Mn
1 1 1
Direct
0.6494 0.6494 0.2988 Re
0.3376 0.3376 0.6753 Tl
0.0129 0.0129 0.0259 Mn
```

Results
- DFT total energy (eV/atom) = -53.3429
- offset from the most stable computed form (meV per atom) = 0
- DFT formation energy (eV per atom) = 0.56

Entry 12:
MnTlRe2: single point on PBEsol structure, meta-GGA SCAN.

Structure (POSCAR):
```
MnTlRe2
1.0
-0.4418 -2.9973 -1.2254
2.9287 -1.5457 2.7247
-3.1949 -0.7573 3.0045
Tl Re Mn
1 2 1
Direct
0.5000 0.0000 0.5000 Tl
0.0000 0.0000 0.0000 Re
0.5000 0.5000 0.0000 Re
0.0000 0.5000 0.5000 Mn
```

Results
- DFT total energy (eV/atom) = -57.5525
- offset from the most stable computed form (meV per atom) = 116
- DFT formation energy (eV per atom) = 0.65

Entry 13:
MnRe2W: single point on PBEsol structure, meta-GGA SCAN.

Structure (POSCAR):
```
MnRe2W
1.0
2.6488 0.0000 -0.0095
0.0000 4.2868 0.0000
-0.9247 0.0000 5.0108
Mn Re W
1 2 1
Direct
0.2938 0.5000 0.7484 Mn
0.7210 0.5000 0.2473 Re
0.9961 0.0000 0.9956 Re
0.4891 0.0000 0.5087 W
```

Results
- DFT total energy (eV/atom) = -57.5363
- DFT formation energy (eV per atom) = 0.00

Entry 14:
MnRe3W: single point on PBEsol structure, meta-GGA SCAN.

Structure (POSCAR):
```
MnRe3W
1.0
-1.5369 3.6388 1.7704
-2.5093 0.6288 -3.4707
-3.1747 -2.2585 1.8861
Mn Re W
1 3 1
Direct
0.0000 0.0000 0.0000 Mn
0.0000 0.5000 0.0000 Re
0.5000 0.0000 0.0000 Re
0.0000 0.0000 0.5000 Re
0.5000 0.5000 0.5000 W
```

Results
- DFT total energy (eV/atom) = -58.6063
- DFT formation energy (eV per atom) = 1.64

Entry 15:
Mn4ReW: single point on PBEsol structure, meta-GGA SCAN.

Structure (POSCAR):
```
Mn4ReW
1.0
-3.7892 -2.5251 -0.9039
-1.4394 -3.1967 3.0431
-3.8903 0.6987 2.4349
Mn W Re
4 1 1
Direct
0.3747 0.3747 0.3747 Mn
0.3747 0.8759 0.3747 Mn
0.8759 0.3747 0.3747 Mn
0.3747 0.3747 0.8759 Mn
0.0000 0.0000 0.0000 W
0.7500 0.7500 0.7500 Re
```

Results
- DFT total energy (eV/atom) = -35.6343
- DFT formation energy (eV per atom) = 0.00

Entry 16:
Mn2ReW: single point on PBEsol structure, meta-GGA SCAN.

Structure (POSCAR):
```
Mn2ReW
1.0
3.0224 0.0000 0.0000
0.0000 3.0224 0.0000
0.0000 0.0000 5.7519
W Mn Re
1 2 1
Direct
0.5000 0.5000 0.7686 W
0.5000 0.5000 0.2428 Mn
0.0000 0.0000 0.0066 Mn
0.0000 0.0000 0.4819 Re
```

Results
- DFT total energy (eV/atom) = -44.3258
- DFT formation energy (eV per atom) = 0.00

Entry 17:
MnRe2W: single point on PBEsol structure, meta-GGA SCAN.

Structure (POSCAR):
```
MnRe2W
1.0
3.0774 0.0000 0.0000
0.0000 3.0774 0.0000
0.0000 0.0000 5.9367
Re Mn W
2 1 1
Direct
0.0000 0.0000 0.9859 Re
0.5000 0.5000 0.2483 Re
0.5000 0.5000 0.7446 Mn
0.0000 0.0000 0.5212 W
```

Results
- DFT total energy (eV/atom) = -57.4841
- DFT formation energy (eV per atom) = 0.05

Entry 18:
MnRe2W: single point on PBEsol structure, meta-GGA SCAN.

Structure (POSCAR):
```
MnRe2W
1.0
-1.6857 -2.4452 0.9487
-0.0412 -1.5240 -4.0011
3.6017 -2.1758 0.7917
Re W Mn
2 1 1
Direct
0.0000 0.5000 0.0000 Re
0.0000 0.0000 0.5000 Re
0.5000 0.5000 0.5000 W
0.5000 0.0000 0.0000 Mn
```

Results
- DFT total energy (eV/atom) = -57.6476
- DFT formation energy (eV per atom) = -0.11

Entry 19:
YMn2Re2: single point on PBEsol structure, meta-GGA SCAN.

Structure (POSCAR):
```
YMn2Re2
1.0
4.0722 0.0000 0.0000
0.0000 4.0722 0.0000
-2.0361 -2.0361 4.9777
Y Re Mn
1 2 2
Direct
0.0000 0.0000 0.0000 Y
0.3716 0.3716 0.7432 Re
0.6284 0.6284 0.2568 Re
0.7500 0.2500 0.5000 Mn
0.2500 0.7500 0.5000 Mn
```

Results
- DFT total energy (eV/atom) = -41.2810
- DFT formation energy (eV per atom) = 0.03

Entry 20:
YMnRe3: single point on PBEsol structure, meta-GGA SCAN.

Structure (POSCAR):
```
YMnRe3
1.0
-2.2401 -2.2291 3.1582
-0.0194 -3.6437 -2.5854
3.8656 -1.3100 1.8172
Mn Re Y
1 3 1
Direct
0.0000 0.0000 0.0000 Mn
0.0000 0.5000 0.0000 Re
0.5000 0.0000 0.0000 Re
0.0000 0.0000 0.5000 Re
0.5000 0.5000 0.5000 Y
```

Results
- DFT total energy (eV/atom) = -51.0050
- DFT formation energy (eV per atom) = 0.87